[1]
# LiMnNi2 | Alexandria via LeMat-Bulk | PBE | relaxed
data_LiMnNi2
_chemical_formula_sum 'Li1 Mn1 Ni2'
_cell_length_a 2.552
_cell_length_b 3.728
_cell_length_c 4.986
_cell_angle_alpha 90.00
_cell_angle_beta 90.00
_cell_angle_gamma 90.00
_symmetry_space_group_name_H-M 'P m m 2'
_symmetry_Int_Tables_number 25
loop_
_symmetry_equiv_pos_as_xyz
'x,y,z'
'-x,-y,z'
'-x,y,z'
'x,-y,z'
loop_
_atom_site_label
_atom_site_fract_x
_atom_site_fract_y
_atom_site_fract_z
Li1 0.000 0.000 0.000
Mn1 0.500 0.500 0.282
Ni1 0.000 0.000 0.515
Ni2 0.500 0.500 0.772
# N(E_F)   0.7193 states/eV/atom
# DFT formation energy   0.074 eV/atom



[2]
# Be4HgSe | Alexandria via LeMat-Bulk | PBE | relaxed
data_Be4HgSe
_chemical_formula_sum 'Be16 Hg4 Se4'
_cell_length_a 6.785
_cell_length_b 6.785
_cell_length_c 6.785
_cell_angle_alpha 90.00
_cell_angle_beta 90.00
_cell_angle_gamma 90.00
_symmetry_space_group_name_H-M 'F -4 3 m'
_symmetry_Int_Tables_number 216
_symmetry_space_group_name_Hall 'F -4 2 3'
loop_
_atom_site_label
_atom_site_fract_x
_atom_site_fract_y
_atom_site_fract_z
Be1 0.124 0.124 0.376
Hg1 0.000 0.000 0.000
Se1 0.250 0.250 0.750
# N(E_F)   0.2502 states/eV/atom



[3]
# Tb2CeTe | Alexandria via LeMat-Bulk | PBE | relaxed
data_Tb2CeTe
_chemical_formula_sum 'Tb6 Ce3 Te3'
_cell_length_a 3.8277
_cell_length_b 3.8277
_cell_length_c 30.0048
_cell_angle_alpha 90.00
_cell_angle_beta 90.00
_cell_angle_gamma 120.00
_symmetry_space_group_name_H-M 'R -3 m'
_symmetry_Int_Tables_number 166
_symmetry_space_group_name_Hall '-R 3 2"'
loop_
_atom_site_label
_atom_site_fract_x
_atom_site_fract_y
_atom_site_fract_z
Tb1 0.0000 0.0000 0.2386
Ce1 0.0000 0.0000 0.0000
Te1 0.0000 0.0000 0.5000
# N(E_F)   2.0100 states/eV/atom
# Relative energy among the computed polymorphs   0.058 eV/atom



Here are the calculated DFT total energy numbers, same order: -0.4107; -0.1892; -0.3713 (Ry per atom).